# Sm2CuNi4As3

Crystalline Sm2CuNi4As3 at its relaxed geometry (PBE-GGA, the Alexandria database).

VASP energy = -58.04 eV per cell
Formation energy = -0.744 eV/atom

a = 4.1121 Å, b = 4.1121 Å, c = 9.5406 Å
α = 90.00°, β = 90.00°, γ = 90.00°
Sites, in units of the cell vectors:
As1 0.0000 0.0000 0.5000
Sm1 0.0000 0.5000 0.7514
As2 0.0000 0.5000 0.1335
Ni1 0.5000 0.0000 0.6221
Cu1 0.5000 0.5000 0.5000
Ni2 0.0000 0.5000 0.3779
Sm2 0.5000 0.0000 0.2486
Ni3 0.5000 0.5000 0.0000
As3 0.5000 0.0000 0.8665
Ni4 0.0000 0.0000 0.0000

# InAgBr2F

Crystalline InAgBr2F at its relaxed geometry (PBE-GGA, the Alexandria database).

E above lowest polymorph = 0 meV per atom
VASP energy = -12.72 eV per cell
Formation energy without anion corrections = -0.38 eV/atom

a = 5.7398 Å, b = 4.1526 Å, c = 5.7398 Å
α = 90.00°, β = 90.00°, γ = 90.00°
Last column: magnetic moment on the atom in μB.
Sites, in units of the cell vectors:
Ag1 0.0000 0.5000 0.0000  0.02
Br1 0.5000 0.0000 0.0000  0.12
F1 0.0000 0.0000 0.0000  0.15
In1 0.5000 0.5000 0.5000  0.03
Br2 0.0000 0.0000 0.5000  0.31

# La2Mo2W

Crystalline La2Mo2W at its relaxed geometry (PBE-GGA, the Alexandria database).

E above lowest polymorph = 0 meV per atom
VASP energy = -40.04 eV per cell
Formation energy = 0.885 eV/atom

a = 3.5205 Å, b = 3.5205 Å, c = 10.2093 Å
α = 80.07°, β = 80.07°, γ = 90.00°
Sites, in units of the cell vectors:
La1 0.5967 0.5967 0.8065
Mo1 0.2500 0.7500 0.5000
La2 0.4033 0.4033 0.1935
Mo2 0.7500 0.2500 0.5000
W1 0.0000 0.0000 0.0000

# GaNi3I

Crystalline GaNi3I at its relaxed geometry (PBE-GGA, the Alexandria database).

E above lowest polymorph = 0 meV per atom
VASP energy = -18.57 eV per cell
Formation energy without anion corrections = 0.67 eV/atom

a = 4.4574 Å, b = 4.4574 Å, c = 4.4574 Å
α = 90.00°, β = 90.00°, γ = 90.00°
Sites, in units of the cell vectors:
I1 0.5000 0.5000 0.5000
Ni1 0.0000 0.5000 0.0000
Ga1 0.0000 0.0000 0.0000
Ni2 0.0000 0.0000 0.5000
Ni3 0.5000 0.0000 0.0000

# Tb2TlH

Crystalline Tb2TlH at its relaxed geometry (PBE-GGA, the Alexandria database).

E above lowest polymorph = 158 meV per atom
VASP energy = -16.19 eV per cell

a = 3.6168 Å, b = 3.6168 Å, c = 8.1473 Å
α = 77.18°, β = 77.18°, γ = 60.00°
Sites, in units of the cell vectors:
Tb1 0.7246 0.7246 0.8263
Tl1 0.5000 0.5000 0.5000
H1 0.0000 0.0000 0.0000
Tb2 0.2754 0.2754 0.1737

# CaTlIr2Cl

Crystalline CaTlIr2Cl at its relaxed geometry (PBE-GGA, the Alexandria database).

VASP energy = -19.43 eV per cell
Formation energy without anion corrections = 0.90 eV/atom

a = 5.0396 Å, b = 5.6286 Å, c = 5.0396 Å
α = 90.00°, β = 90.00°, γ = 90.00°
Last column: magnetic moment on the atom in μB.
Sites, in units of the cell vectors:
Ca1 0.5000 0.5000 0.5000  -0.01
Tl1 0.0000 0.0000 0.0000  0.00
Cl1 0.0000 0.5000 0.0000  0.01
Ir1 0.0000 0.0000 0.5000  0.83
Ir2 0.5000 0.0000 0.0000  0.70

# Pu3PtRh2

Crystalline Pu3PtRh2 at its relaxed geometry (PBE-GGA, the Alexandria database).

E above lowest polymorph = 30 meV per atom
VASP energy = -133.48 eV per cell
Formation energy = -0.500 eV/atom

a = 3.1985 Å, b = 4.9439 Å, c = 15.6132 Å
α = 90.00°, β = 90.00°, γ = 90.00°
Last column: magnetic moment on the atom in μB.
Sites, in units of the cell vectors:
Pu1 0.4986 0.5000 0.6667  5.08
Pu2 0.5035 0.5000 0.0000  -5.16
Pt1 0.0032 0.0000 0.0000  0.04
Rh1 0.9987 0.0000 0.3258  -0.25
Rh2 0.0013 0.5000 0.1742  -0.25
Pu3 0.5014 0.0000 0.8333  5.08
Pu4 0.4965 0.0000 0.5000  -5.16
Pu5 0.5014 0.0000 0.1667  5.08
Pu6 0.4986 0.5000 0.3333  5.08
Rh3 0.9987 0.0000 0.6742  -0.25
Rh4 0.0013 0.5000 0.8258  -0.25
Pt2 0.9968 0.5000 0.5000  0.04

# CsU4Pt3S12

Crystalline CsU4Pt3S12 at its relaxed geometry (PBE-GGA, the Alexandria database).

VASP energy = -131.85 eV per cell
Formation energy without anion corrections = -0.91 eV/atom

a = 8.5023 Å, b = 8.5023 Å, c = 8.5023 Å
α = 109.47°, β = 109.47°, γ = 109.47°
Last column: magnetic moment on the atom in μB.
Sites, in units of the cell vectors:
S1 0.5127 0.6765 0.8362  -0.06
S2 0.1638 0.8403 0.6765  -0.06
U1 0.0000 0.5000 0.0000  1.86
Pt1 0.5000 0.5000 0.0000  -0.01
S3 0.6765 0.8362 0.5127  -0.06
S4 0.3235 0.1638 0.4873  -0.06
Pt2 0.5000 0.0000 0.5000  -0.01
Pt3 0.0000 0.5000 0.5000  -0.01
S5 0.1597 0.3235 0.8362  -0.06
U2 0.5000 0.5000 0.5000  1.86
S6 0.1638 0.4873 0.3235  -0.06
S7 0.4873 0.3235 0.1638  -0.06
S8 0.3235 0.8362 0.1597  -0.06
U3 0.0000 0.0000 0.5000  1.86
S9 0.8403 0.6765 0.1638  -0.06
S10 0.8362 0.5127 0.6765  -0.06
Cs1 0.0000 0.0000 0.0000  0.00
S11 0.8362 0.1597 0.3235  -0.06
S12 0.6765 0.1638 0.8403  -0.06
U4 0.5000 0.0000 0.0000  1.86

# KBAs2Se

Crystalline KBAs2Se at its relaxed geometry (PBE-GGA, the Alexandria database).

E above lowest polymorph = 0 meV per atom
VASP energy = -18.24 eV per cell
Formation energy without anion corrections = 0.46 eV/atom

a = 4.5019 Å, b = 4.5019 Å, c = 5.1778 Å
α = 90.00°, β = 90.00°, γ = 90.00°
Sites, in units of the cell vectors:
B1 0.0000 0.0000 0.0000
K1 0.5000 0.5000 0.5000
As1 0.5000 0.0000 0.0000
As2 0.0000 0.5000 0.0000
Se1 0.0000 0.0000 0.5000

# Li2B2SbO6

Crystalline Li2B2SbO6 at its relaxed geometry (PBE-GGA, the Alexandria database).

VASP energy = -72.88 eV per cell
Formation energy without anion corrections = -1.98 eV/atom

a = 4.9509 Å, b = 4.9509 Å, c = 6.1174 Å
α = 90.00°, β = 90.00°, γ = 120.00°
Sites, in units of the cell vectors:
O1 0.6217 0.9384 0.7891
O2 0.3783 0.0616 0.2109
Sb1 0.0000 0.0000 0.0000
O3 0.9384 0.3166 0.2109
B1 0.3333 0.6667 0.7936
O4 0.6834 0.6217 0.2109
O5 0.0616 0.6834 0.7891
Li1 0.3333 0.6667 0.2999
Li2 0.6667 0.3333 0.7001
B2 0.6667 0.3333 0.2064
O6 0.3166 0.3783 0.7891

# VAgS2

Crystalline VAgS2 at its relaxed geometry (PBE-GGA, the Alexandria database).

VASP energy = -175.79 eV per cell
Formation energy without anion corrections = -0.44 eV/atom

a = 15.3471 Å, b = 7.3204 Å, c = 7.3204 Å
α = 89.85°, β = 116.91°, γ = 63.09°
Last column: magnetic moment on the atom in μB.
Sites, in units of the cell vectors:
S1 0.5188 0.2265 0.3029  0.00
S2 0.4190 0.3359 0.6424  0.00
S3 0.9812 0.8029 0.7265  0.00
Ag1 0.9107 0.3987 0.8700  0.00
Ag2 0.0768 0.5998 0.5135  0.00
V1 0.8307 0.9296 0.7753  -0.32
S4 0.7413 0.7566 0.7754  0.00
V2 0.8321 0.9298 0.3924  0.34
V3 0.1679 0.0702 0.6076  0.34
S5 0.2500 0.2602 0.7602  -0.01
Ag3 0.4232 0.0135 0.0998  0.00
S6 0.0188 0.1971 0.2735  0.00
S7 0.7587 0.2754 0.2566  0.00
V4 0.3307 0.7247 0.5704  -0.32
S8 0.9190 0.8576 0.1641  0.00
S9 0.0810 0.1424 0.8359  0.00
S10 0.2500 0.7269 0.2269  0.01
S11 0.5810 0.6641 0.3576  0.00
S12 0.4812 0.7735 0.6971  0.00
V5 0.1693 0.0704 0.2247  -0.32
Ag4 0.0893 0.6013 0.1300  0.00
Ag5 0.9232 0.4002 0.4865  0.00
S13 0.7500 0.7398 0.2398  -0.01
Ag6 0.5768 0.9865 0.9002  0.00
S14 0.7500 0.2731 0.7731  0.01
S15 0.2413 0.7246 0.7434  0.00
Ag7 0.5893 0.3700 0.8987  0.00
Ag8 0.4107 0.6300 0.1013  0.00
V6 0.6693 0.2753 0.4296  -0.32
V7 0.6679 0.8924 0.4298  0.34
V8 0.3321 0.1076 0.5702  0.34
S16 0.2587 0.2434 0.2246  0.00